# 1
The following is a DFT calculation (PBE) of a geometry-optimized Er3AlCo structure.

- magnetization (μB/f.u.) = 0.00
- uncorrected energy (eV per atom) = -5.0701
- density of states at the Fermi level (states/eV per atom) = 0.946
- space-group type = P1, No. 1
- energy of formation (meV/atom) = -163

```
Er3AlCo
1.0
-2.7534 1.2344 -4.1567
-3.1451 -6.2880 0.2126
-4.7244 2.7519 3.9430
Er Co Al
6 2 2
Direct
0.0435 0.6743 0.8652 Er
0.5435 0.8672 0.1606 Er
0.5435 0.4835 0.5086 Er
0.5425 0.3517 0.0324 Er
0.5431 0.9715 0.6525 Er
0.0432 0.1662 0.3753 Er
0.0422 0.4512 0.1709 Co
0.5436 0.6647 0.8401 Co
0.0427 0.1800 0.8802 Al
0.0434 0.7330 0.3910 Al
```

***

# 2
The following is a DFT calculation (PBE) of a geometry-optimized Nd2InF structure.

- magnetization (μB/f.u.) = 0.00
- uncorrected energy (eV per atom) = -4.8871
- density of states at the Fermi level (states/eV per atom) = 0.555
- space-group type = R-3m, No. 166
- formation energy without anion corrections (eV/atom) = -1.351

```
Nd2InF
1.0
-0.9089 -3.6286 0.7879
0.2623 -1.3009 3.5850
-7.6348 0.5022 2.7790
Nd In F
2 1 1
Direct
0.2708 0.2708 0.1876 Nd
0.7292 0.7292 0.8124 Nd
0.5000 0.5000 0.5000 In
0.0000 0.0000 0.0000 F
```

***

# 3
The following is a DFT calculation (PBE) of a geometry-optimized CeDyAgRu structure.

- magnetization (μB/f.u.) = 0.49
- uncorrected energy (eV per atom) = -5.8952
- density of states at the Fermi level (states/eV per atom) = 1.869
- space-group type = F-43m, No. 216
- energy of formation (meV/atom) = -229

```
CeDyAgRu
1.0
-3.5533 3.5127 -0.3925
-4.2061 -0.9641 -2.5491
-4.3421 -0.5438 2.4432
Dy Ag Ru Ce
1 1 1 1
Direct
0.5000 0.5000 0.5000 Dy
0.2500 0.2500 0.2500 Ag
0.7500 0.7500 0.7500 Ru
0.0000 0.0000 0.0000 Ce
```

***

# 4
The following is a DFT calculation (PBE) of a geometry-optimized K2ScMn structure.

- magnetization (μB/f.u.) = 3.03
- uncorrected energy (eV per atom) = -3.5325
- density of states at the Fermi level (states/eV per atom) = 1.327
- space-group type = C2/m, No. 12
- energy of formation (meV/atom) = 891

```
K2ScMn
1.0
7.3261 -0.0161 0.0333
-4.4383 5.8287 0.0333
0.7556 1.5209 3.0660
Mn K Sc
1 2 1
Direct
0.5000 0.0000 0.5000 Mn
0.5000 0.5000 0.0000 K
0.0000 0.0000 0.0000 K
0.0000 0.5000 0.5000 Sc
```

***

# 5
The following is a DFT calculation (PBE) of a geometry-optimized Th3Mg2Hg4 structure.

- magnetization (μB/f.u.) = 0.00
- uncorrected energy (eV per atom) = -3.1886
- density of states at the Fermi level (states/eV per atom) = 0.873
- space-group type = C2/m, No. 12
- energy of formation (meV/atom) = -227

```
Th3Mg2Hg4
1.0
-0.9944 0.8468 -4.8884
5.3647 -2.8425 1.0350
-7.9775 -5.0212 0.7529
Hg Th Mg
4 3 2
Direct
0.7076 0.4152 0.0506 Hg
0.2924 0.5848 0.9494 Hg
0.0673 0.1345 0.3924 Hg
0.9327 0.8655 0.6076 Hg
0.6597 0.3194 0.6735 Th
0.3403 0.6806 0.3265 Th
0.0000 0.0000 0.0000 Th
0.6220 0.2441 0.2897 Mg
0.3780 0.7559 0.7103 Mg
```

***

Q: Which formula does entry 2 have?
A: Nd2InF

***

Q: Which value of density of states at the Fermi level does entry 1 give?
A: 0.946 states/eV per atom

***

Q: Which of these has the highest uncorrected energy?
A: Th3Mg2Hg4

***

Please write out number 5 again, unchanged.
The following is a DFT calculation (PBE) of a geometry-optimized Th3Mg2Hg4 structure.

- magnetization (μB/f.u.) = 0.00
- uncorrected energy (eV per atom) = -3.1886
- density of states at the Fermi level (states/eV per atom) = 0.873
- space-group type = C2/m, No. 12
- energy of formation (meV/atom) = -227

```
Th3Mg2Hg4
1.0
-0.9944 0.8468 -4.8884
5.3647 -2.8425 1.0350
-7.9775 -5.0212 0.7529
Hg Th Mg
4 3 2
Direct
0.7076 0.4152 0.0506 Hg
0.2924 0.5848 0.9494 Hg
0.0673 0.1345 0.3924 Hg
0.9327 0.8655 0.6076 Hg
0.6597 0.3194 0.6735 Th
0.3403 0.6806 0.3265 Th
0.0000 0.0000 0.0000 Th
0.6220 0.2441 0.2897 Mg
0.3780 0.7559 0.7103 Mg
```